[1]
PaTcIr after structural relaxation, computed with PBE.

a = 4.1482 Å, b = 20.2863 Å, c = 2.9504 Å
α = 90.00°, β = 90.00°, γ = 90.00°
With the nearest neighbours (Å) after each atom.
Space group Cmcm (No. 63)
Inequivalent atoms, fractional coordinates:
Pa: 0.0000 0.0666 0.2500 (multiplicity 4)  2 Ir 2.68, 2 Pa 2.95
Tc: 0.0000 0.2391 0.2500 (multiplicity 4)  4 Tc 2.58, 4 Ir 2.69-2.75
Ir: 0.0000 0.3500 0.7500 (multiplicity 4)  2 Pa 2.68, 4 Tc 2.69-2.75, 2 Ir 2.95

## Properties
Calculated density ... 13.94 g/cm3
E_form ... 0.3680 eV/atom
V ... 20.69 Å³/atom
E_tot ... -0.67665 Ry/atom
Total magnetic moment ... 1.74 Bohr magnetons per cell

---

[2]
VFe2ReIr after structural relaxation, computed with PBE.

a = 4.1332 Å, b = 4.1332 Å, c = 4.4866 Å
α = 90.00°, β = 90.00°, γ = 90.00°
With the nearest neighbours (Å) after each atom.
Space group P4/mmm (No. 123)
Inequivalent atoms, fractional coordinates:
V: 0.0000 0.0000 0.0000 (multiplicity 1)  4 Fe 2.07, 2 Ir 2.24
Fe: 0.0000 0.5000 0.0000 (multiplicity 2)  2 V 2.07
Re: 0.5000 0.5000 0.5000 (multiplicity 1)  4 Ir 2.92, 8 Fe 3.05
Ir: 0.0000 0.0000 0.5000 (multiplicity 1)  2 V 2.24

## Properties
Calculated density ... 11.72 g/cm3
E_form ... 1.3974 eV/atom
V ... 15.33 Å³/atom
E_tot ... -0.59337 Ry/atom
Total magnetic moment ... 4.25 Bohr magnetons per cell